## SrMg3Sc (PBE-GGA)

Data for crystalline SrMg3Sc at its relaxed geometry.

Its energy relative to the elements is 2.49 eV/f.u. For the density of states at the Fermi level, the calculation gives 6.30 states/eV/f.u. The value obtained for the relative energy among the computed polymorphs is 0.000 eV per formula unit.

The space group is Pm-3m (No. 221) and the conventional cell measures 5.620, 5.620 and 5.620 Å, with angles of 90.00, 90.00 and 90.00 degrees. The inequivalent atoms are Sr at (0.000, 0.000, 0.000), Mg at (0.000, 0.500, 0.500) and Sc at (0.500, 0.500, 0.500).


## Na12In2Pb (PBE-GGA)

Data for crystalline Na12In2Pb at its relaxed geometry.

Its energy relative to the elements is 1.36 eV/f.u. For the density of states at the Fermi level, the calculation gives 6.31 states/eV/f.u.

The space group is P4/nbm (No. 125, origin choice 2) and the conventional cell measures 6.713, 6.713 and 24.177 Å, with angles of 90.00, 90.00 and 90.00 degrees. The inequivalent atoms are Na at (0.000, 0.000, 0.090), Na at (0.071, 0.571, 0.433), Na at (0.250, 0.250, 0.196), Na at (0.250, 0.250, 0.321), In at (0.250, 0.750, 0.206) and Pb at (0.250, 0.750, 0.000).


## Ba3LiZr (PBE-GGA)

Data for crystalline Ba3LiZr at its relaxed geometry.

Its energy relative to the elements is 3.33 eV/f.u. For the density of states at the Fermi level, the calculation gives 6.91 states/eV/f.u. The value obtained for the relative energy among the computed polymorphs is 0.000 eV per formula unit.

The space group is Pm-3m (No. 221) and the conventional cell measures 6.401, 6.401 and 6.401 Å, with angles of 90.00, 90.00 and 90.00 degrees. The inequivalent atoms are Ba at (0.000, 0.000, 0.500), Li at (0.500, 0.500, 0.500) and Zr at (0.000, 0.000, 0.000).


## GeTe2W (PBE-GGA)

Data for crystalline GeTe2W at its relaxed geometry.

For the uncorrected formation energy, the calculation gives 0.3490 eV/atom. For the density of states at the Fermi level, the calculation gives 2.45 states/eV/f.u.

The space group is R-3m (No. 166, hexagonal axes) and the conventional cell measures 3.4369, 3.4369 and 29.4315 Å, with angles of 90.00, 90.00 and 120.00 degrees. The inequivalent atoms are Ge at (0.0000, 0.0000, 0.0000), Te at (0.0000, 0.0000, 0.1020) and W at (0.0000, 0.0000, 0.5000).


no.,electronic total energy (Ha/atom)
1,-0.07578
2,-0.05794
3,-0.09478
4,-0.20633